First-principles (PBE) data for TlIn15Sn4 after structural relaxation, as listed in Alexandria via LeMat-Bulk.

Cell and atoms, written as POSCAR:
```
TlIn15Sn4
1.0
5.0045 0.0000 0.0000
0.0000 5.0045 0.0000
0.0000 0.0000 21.9524
In Sn Tl
15 4 1
Direct
0.5000 0.5000 0.3994
0.5000 0.0000 0.8971
0.5000 0.5000 0.6006
0.0000 0.5000 0.3003
0.5000 0.5000 0.2030
0.0000 0.5000 0.6997
0.0000 0.5000 0.5000
0.5000 0.0000 0.5000
0.0000 0.5000 0.8971
0.5000 0.5000 0.7970
0.5000 0.0000 0.3003
0.5000 0.0000 0.6997
0.5000 0.0000 0.1029
0.0000 0.5000 0.1029
0.5000 0.5000 0.0000
0.0000 0.0000 0.4011
0.0000 0.0000 0.2003
0.0000 0.0000 0.7997
0.0000 0.0000 0.5989
0.0000 0.0000 0.0000
```

Properties
Crystal system: tetragonal
Raw total energy (Ry/atom): -0.2171
Space group: P4/mmm, No. 123
ΔE_f (eV/atom): 0.019

=====

First-principles (PBE) data for Ba2Te4Pb after structural relaxation, as listed in Alexandria via LeMat-Bulk.

Cell and atoms, written as POSCAR:
```
Ba2Te4Pb
1.0
5.8985 0.0000 0.0000
0.0000 5.8985 0.0000
2.9492 2.9492 8.7788
Te Ba Pb
4 2 1
Direct
0.8217 0.8217 0.3567
0.5000 0.0000 0.0000
0.0000 0.5000 0.0000
0.1783 0.1783 0.6433
0.3703 0.3703 0.2593
0.6297 0.6297 0.7407
0.0000 0.0000 0.0000
```

Properties
Crystal system: tetragonal
Raw total energy (Ry/atom): -0.2712
Space group: I4/mmm, No. 139
Formation energy from raw total energies (kJ/mol of formula units): -551

=====

First-principles (PBE) data for Ca2PrHo after structural relaxation, as listed in Alexandria via LeMat-Bulk.

Cell and atoms, written as POSCAR:
```
Ca2PrHo
1.0
5.9100 0.0000 0.0000
2.9550 5.1182 0.0000
2.9550 1.7061 4.8255
Pr Ca Ho
1 2 1
Direct
0.0000 0.0000 0.0000
0.2500 0.2500 0.2500
0.7500 0.7500 0.7500
0.5000 0.5000 0.5000
```

Properties
Crystal system: cubic
Raw total energy (Ry/atom): -0.2347
Energy above the most stable polymorph in this dataset (meV per atom): 40.1
Space group: Fm-3m, No. 225
ΔE_f (eV/atom): 0.147

=====

First-principles (PBE) data for Na2OsSe after structural relaxation, as listed in Alexandria via LeMat-Bulk.

Cell and atoms, written as POSCAR:
```
Na2OsSe
1.0
-7.4461 0.5936 -8.2043
-2.5203 -10.6988 1.5133
-6.5927 -4.4608 -1.8419
Na Os Se
4 2 2
Direct
0.8750 0.6669 0.7500
0.3750 0.5831 0.7500
0.4169 0.1250 0.2500
0.3331 0.6250 0.2500
0.0000 0.0000 0.0000
0.7500 0.2500 0.5000
0.5000 0.5000 0.0000
0.2500 0.7500 0.5000
```

Properties
Crystal system: tetragonal
Raw total energy (Ry/atom): -0.2868
Space group: I-42d, No. 122
Formation energy from raw total energies (kJ/mol of formula units): 168

=====

First-principles (PBE) data for KSiIr2 after structural relaxation, as listed in Alexandria via LeMat-Bulk.

Cell and atoms, written as POSCAR:
```
KSiIr2
1.0
-2.6265 -3.8448 2.4580
4.9424 -1.2320 -2.2565
1.7163 0.1290 2.0929
Ir K Si
2 1 1
Direct
0.5000 0.0000 0.5000
0.0000 0.0000 0.0000
0.0000 0.5000 0.5000
0.5000 0.5000 0.0000
```

Properties
Crystal system: monoclinic
Raw total energy (Ry/atom): -0.3852
Space group: C2/m, No. 12
Formation energy from raw total energies (kJ/mol of formula units): 316

=====

First-principles (PBE) data for FePb2Br after structural relaxation, as listed in Alexandria via LeMat-Bulk.

Cell and atoms, written as POSCAR:
```
FePb2Br
1.0
-0.5341 -1.4585 5.4300
-4.8135 -2.9262 0.4070
4.3640 -0.6719 -3.5216
Fe Br Pb
1 1 2
Direct
0.7500 0.2500 0.5000
0.2500 0.7500 0.5000
0.0000 0.0000 0.0000
0.5000 0.5000 0.0000
```

Properties
Crystal system: tetragonal
Raw total energy (Ry/atom): -0.2886
Energy above the most stable polymorph in this dataset (meV per atom): 370.2
Space group: I4/mmm, No. 139
Formation energy from raw total energies (kJ/mol of formula units): 178

=====

First-principles (PBE) data for Pm3TmPu2S6 after structural relaxation, as listed in Alexandria via LeMat-Bulk.

Cell and atoms, written as POSCAR:
```
Pm3TmPu2S6
1.0
-3.1328 -5.5417 -2.5783
4.2203 -0.6324 5.3817
-5.3880 3.0103 3.1206
S Pm Pu Tm
6 3 2 1
Direct
0.0794 0.4083 0.2385
0.5917 0.9206 0.7615
0.7518 0.7518 0.2412
0.9206 0.5917 0.7615
0.4083 0.0794 0.2385
0.2482 0.2482 0.7588
0.8317 0.1683 0.5000
0.1683 0.8317 0.5000
0.5000 0.5000 0.5000
0.6664 0.3336 0.0000
0.3336 0.6664 0.0000
0.0000 0.0000 0.0000
```

Properties
Crystal system: monoclinic
Raw total energy (Ry/atom): -0.5850
Space group: C2/m, No. 12
Formation energy from raw total energies (kJ/mol of formula units): -2254

=====

First-principles (PBE) data for NaMnBeAu2 after structural relaxation, as listed in Alexandria via LeMat-Bulk.

Cell and atoms, written as POSCAR:
```
NaMnBeAu2
1.0
4.8841 0.0000 0.0000
0.0000 4.4019 0.0000
0.0000 0.0000 4.8841
Mn Na Au Be
1 1 2 1
Direct
0.5000 0.5000 0.5000
0.0000 0.0000 0.0000
0.5000 0.0000 0.0000
0.0000 0.0000 0.5000
0.0000 0.5000 0.0000
```

Properties
Crystal system: tetragonal
Raw total energy (Ry/atom): -0.2148
Space group: P4/mmm, No. 123
ΔE_f (eV/atom): 1.231

=====

First-principles (PBE) data for Ce3SmDy2Se6 after structural relaxation, as listed in Alexandria via LeMat-Bulk.

Cell and atoms, written as POSCAR:
```
Ce3SmDy2Se6
1.0
7.1668 -0.0039 -0.0008
-3.5850 6.2057 -0.0008
-1.1954 -2.0699 6.8506
Se Ce Sm Dy
6 3 1 2
Direct
0.9193 0.5807 0.7582
0.4193 0.0807 0.2418
0.0807 0.4193 0.2418
0.2591 0.2591 0.7609
0.7409 0.7409 0.2391
0.5807 0.9193 0.7582
0.5000 0.5000 0.5000
0.1641 0.8359 0.5000
0.8359 0.1641 0.5000
0.0000 0.0000 0.0000
0.3330 0.6670 0.0000
0.6670 0.3330 0.0000
```

Properties
Crystal system: monoclinic
Raw total energy (Ry/atom): -0.4552
Space group: C2/m, No. 12
Formation energy from raw total energies (kJ/mol of formula units): -2092

=====

First-principles (PBE) data for Ta2SnHOs after structural relaxation, as listed in Alexandria via LeMat-Bulk.

Cell and atoms, written as POSCAR:
```
Ta2SnHOs
1.0
-1.5747 0.5214 -3.8256
-0.1312 -4.1364 -0.5098
-3.8548 -0.0721 1.5769
Ta Os H Sn
2 1 1 1
Direct
0.5000 0.0000 0.0000
0.0000 0.5000 0.0000
0.0000 0.0000 0.5000
0.0000 0.0000 0.0000
0.5000 0.5000 0.5000
```

Properties
Crystal system: tetragonal
Raw total energy (Ry/atom): -0.6151
Space group: P4/mmm, No. 123

=====

First-principles (PBE) data for Dy2TmMg after structural relaxation, as listed in Alexandria via LeMat-Bulk.

Cell and atoms, written as POSCAR:
```
Dy2TmMg
1.0
-1.5829 0.4115 3.1572
-0.1802 -3.5317 0.3700
8.2623 0.0122 4.1409
Tm Mg Dy
1 1 2
Direct
0.5000 0.5000 0.5000
0.5000 0.5000 0.0000
0.0000 0.0000 0.2387
0.0000 0.0000 0.7613
```

Properties
Crystal system: tetragonal
Raw total energy (Ry/atom): -0.2823
Energy above the most stable polymorph in this dataset (meV per atom): 5.1
Space group: P4/mmm, No. 123
ΔE_f (eV/atom): -0.023

=====

First-principles (PBE) data for AcAlBOs2 after structural relaxation, as listed in Alexandria via LeMat-Bulk.

Cell and atoms, written as POSCAR:
```
AcAlBOs2
1.0
-0.3411 -2.4686 3.5410
4.8731 -1.3665 -3.1306
3.9372 5.0715 3.9149
Al Os B Ac
2 4 2 2
Direct
0.7310 0.4619 0.7500
0.2690 0.5381 0.2500
0.8223 0.6445 0.4379
0.8223 0.6445 0.0621
0.1777 0.3555 0.9379
0.1777 0.3555 0.5621
0.0000 0.0000 0.0000
0.0000 0.0000 0.5000
0.5495 0.0989 0.2500
0.4505 0.9011 0.7500
```

Properties
Crystal system: orthorhombic
Raw total energy (Ry/atom): -0.5614
Space group: Cmcm, No. 63
ΔE_f (eV/atom): -0.241

=====

Number 1: total magnetization 0.0 μB per cell. Number 2: total magnetization 0.0 μB per cell. Number 3: total magnetization 0.0 μB per cell. Number 4: total magnetization 0.0 μB per cell. Number 5: total magnetization 0.0 μB per cell. Number 6: total magnetization 2.9 μB per cell. Number 7: total magnetization 11.3 μB per cell. Number 8: total magnetization 4.6 μB per cell. Number 9: total magnetization 3.0 μB per cell. Number 10: total magnetization 0.0 μB per cell. Number 11: total magnetization 0.0 μB per cell. Number 12: total magnetization 0.0 μB per cell.